A plane-wave DFT calculation with GGA+U was carried out for an optimized crystal structure of MoIrPdO2.

Unit cell a=3.843 b=3.843 c=5.386 alpha=90.00 beta=90.00 gamma=90.00
Space group P4/mmm (No. 123)
Asymmetric unit:
Mo 0.000 0.000 0.000 [1 per cell]
Ir 0.500 0.500 0.500 [1 per cell]
Pd 0.500 0.500 0.000 [1 per cell]
O 0.000 0.500 0.500 [2 per cell]

Total magnetic moment (μB per formula unit): 3.8
Calculated density (g/cm3): 8.906
VASP energy (eV per atom): -5.96